Here is a geometry-optimized NiHgCl6 structure from Alexandria via LeMat-Bulk. Energies are from PBE.

Unit cell a=6.339 b=11.220 c=6.275 alpha=90.00 beta=109.16 gamma=90.00
Space group C2/m (No. 12)
Symmetry-distinct sites (fractional):
Ni (0.000, 0.000, 0.000) (multiplicity 2)
Hg (0.000, 0.500, 0.500) (multiplicity 2)
Cl (0.212, 0.143, 0.218) (multiplicity 8)
Cl (0.222, 0.000, 0.784) (multiplicity 4)

Values from the calculation:
DFT total energy = -39.90 eV/cell
Total moment = 0.00 μB per cell
Formation energy (no corrections) = -0.35 eV/atom

=====

Here is a geometry-optimized Zr5Cr structure from Alexandria via LeMat-Bulk. Energies are from PBE.

Unit cell a=5.8289 b=5.8289 c=5.0219 alpha=90.00 beta=90.00 gamma=120.00
Space group P6/mmm (No. 191)
Symmetry-distinct sites (fractional):
Zr (0.0000, 0.5000, 0.0000) (multiplicity 3)
Zr (0.3333, 0.6667, 0.5000) (multiplicity 2)
Cr (0.0000, 0.0000, 0.5000) (multiplicity 1)

Values from the calculation:
DFT total energy = -47.89 eV/cell
Total moment = 3.74 μB per cell

=====

Here is a geometry-optimized KTbSb2 structure from Alexandria via LeMat-Bulk. Energies are from PBE.

Unit cell a=4.124 b=4.124 c=7.630 alpha=90.00 beta=90.00 gamma=90.00
Space group P4/mmm (No. 123)
Symmetry-distinct sites (fractional):
K (0.000, 0.000, 0.000) (multiplicity 1)
Tb (0.000, 0.000, 0.500) (multiplicity 1)
Sb (0.500, 0.500, 0.306) (multiplicity 2)

Values from the calculation:
DFT total energy = -16.56 eV/cell
Total moment = 0.00 μB per cell
Formation energy (no corrections) = -0.65 eV/atom

=====

Here is a geometry-optimized Dy2ZnCo structure from Alexandria via LeMat-Bulk. Energies are from PBE.

Unit cell a=6.886 b=6.886 c=6.886 alpha=90.00 beta=90.00 gamma=90.00
Space group Fm-3m (No. 225)
Symmetry-distinct sites (fractional):
Dy (0.250, 0.250, 0.250) (multiplicity 8)
Zn (0.000, 0.000, 0.000) (multiplicity 4)
Co (0.000, 0.000, 0.500) (multiplicity 4)

Values from the calculation:
DFT total energy = -74.04 eV/cell
Total moment = 0.00 μB per cell

=====

Here is a geometry-optimized MgFe2Mo structure from Alexandria via LeMat-Bulk. Energies are from PBE.

Unit cell a=2.987 b=2.987 c=6.079 alpha=90.00 beta=90.00 gamma=90.00
Space group P4/mmm (No. 123)
Symmetry-distinct sites (fractional):
Mg (0.000, 0.000, 0.000) (multiplicity 1)
Fe (0.500, 0.500, 0.275) (multiplicity 2)
Mo (0.000, 0.000, 0.500) (multiplicity 1)

Values from the calculation:
DFT total energy = -28.69 eV/cell
Total moment = 0.16 μB per cell

=====

Here is a geometry-optimized CuRe2Os structure from Alexandria via LeMat-Bulk. Energies are from PBE.

Unit cell a=2.738 b=2.738 c=7.549 alpha=90.00 beta=90.00 gamma=90.00
Space group P4/mmm (No. 123)
Symmetry-distinct sites (fractional):
Cu (0.000, 0.000, 0.000) (multiplicity 1)
Re (0.500, 0.500, 0.245) (multiplicity 2)
Os (0.000, 0.000, 0.500) (multiplicity 1)

Values from the calculation:
DFT total energy = -39.37 eV/cell
Total moment = 0.00 μB per cell

=====

What did the second record say?
Here is a geometry-optimized Zr5Cr structure from Alexandria via LeMat-Bulk. Energies are from PBE.

Unit cell a=5.8289 b=5.8289 c=5.0219 alpha=90.00 beta=90.00 gamma=120.00
Space group P6/mmm (No. 191)
Symmetry-distinct sites (fractional):
Zr (0.0000, 0.5000, 0.0000) (multiplicity 3)
Zr (0.3333, 0.6667, 0.5000) (multiplicity 2)
Cr (0.0000, 0.0000, 0.5000) (multiplicity 1)

Values from the calculation:
DFT total energy = -47.89 eV/cell
Total moment = 3.74 μB per cell

=====

What is the total moment in the fourth record? 0.00 μB per cell